[1]
Below is a relaxed structure of TlZn2Sb, with properties calculated at the GGA-PBE level.

Cell lengths 4.1653, 4.1653, 10.6826 Å; angles 90.00, 90.00, 90.00 degrees
Last column: nearest neighbours and their distance in Å.
Fractional coordinates of all 8 atoms:
Tl1 0.0000 0.0000 0.0000  4 Zn 2.95
Tl2 0.5000 0.5000 0.5000  4 Zn 2.95
Zn1 0.0000 0.0000 0.5000  4 Tl 2.95
Zn2 0.0000 0.5000 0.7500  4 Sb 2.95
Zn3 0.5000 0.0000 0.2500  4 Sb 2.95
Zn4 0.5000 0.5000 0.0000  4 Tl 2.95
Sb1 0.0000 0.5000 0.2500  4 Zn 2.95
Sb2 0.5000 0.0000 0.7500  4 Zn 2.95

Results
**Calculated volume**: 185 Å³/cell
**N(E_F)**: 0.4446 states/eV per atom
**SG**: No. 119
**E_form (uncorrected)**: 0.20 eV per atom


[2]
Below is a relaxed structure of TlZnSb2, with properties calculated at the GGA-PBE level.

Cell lengths 3.8757, 3.8757, 7.4507 Å; angles 90.00, 90.00, 90.00 degrees
Last column: nearest neighbours and their distance in Å.
Fractional coordinates of all 4 atoms:
Tl1 0.0000 0.0000 0.0000  4 Zn 3.26, 1 Sb 3.44
Zn1 0.5000 0.5000 0.2358  5 Sb 3.06-3.22, 4 Tl 3.26
Sb1 0.0000 0.0000 0.4623  4 Sb 3.06, 4 Zn 3.22
Sb2 0.5000 0.5000 0.6463  1 Zn 3.06, 4 Sb 3.06

Results
**Calculated volume**: 112 Å³/cell
**N(E_F)**: 0.3272 states/eV per atom
**SG**: No. 99
**E_form (uncorrected)**: 0.15 eV per atom


- E_form (uncorrected) of number 2 (TlZnSb2)?
  0.15 eV per atom